# KBeCu2 GGA-PBE optimized geometry
# Size of the total moment, μB/cell: 0.00
# Energy of formation from the pure elements, kJ per mole of atoms: 91.8
# Raw total energy, eV/cell: -36.8
data_KBeCu2
_chemical_formula_sum 'K4 Be4 Cu8'
_symmetry_space_group_name_H-M 'F -4 3 m'
_symmetry_Int_Tables_number 216
_symmetry_space_group_name_Hall 'F -4 2 3'
_cell_length_a 6.598
_cell_length_b 6.598
_cell_length_c 6.598
_cell_angle_alpha 90.00
_cell_angle_beta 90.00
_cell_angle_gamma 90.00
loop_
_atom_site_label
_atom_site_fract_x
_atom_site_fract_y
_atom_site_fract_z
_atom_site_occupancy
K1 0.000 0.000 0.000 1
Be1 0.250 0.250 0.750 1
Cu1 0.000 0.000 0.500 1
Cu2 0.250 0.250 0.250 1

# Si2Ni2Ru GGA-PBE optimized geometry
# Size of the total moment, μB/cell: 1.56
# Raw formation energy, meV per atom: -265
# Raw total energy, eV/cell: -66.0
data_Si2Ni2Ru
_chemical_formula_sum 'Si4 Ni4 Ru2'
_symmetry_space_group_name_H-M 'P 4/m b m'
_symmetry_Int_Tables_number 127
_symmetry_space_group_name_Hall '-P 4 2ab'
_cell_length_a 6.747
_cell_length_b 6.747
_cell_length_c 2.614
_cell_angle_alpha 90.00
_cell_angle_beta 90.00
_cell_angle_gamma 90.00
loop_
_atom_site_label
_atom_site_fract_x
_atom_site_fract_y
_atom_site_fract_z
_atom_site_occupancy
Si1 0.172 0.328 0.000 1
Ni1 0.127 0.627 0.500 1
Ru1 0.000 0.000 0.500 1

# CsBi3Pt2 GGA-PBE optimized geometry
# Size of the total moment, μB/cell: 0.00
# Energy of formation from the pure elements, kJ per mole of atoms: -21.8
# Energy relative to the lowest polymorph listed for this composition, kJ/mol of formula units: 0
# Raw total energy, eV/cell: -51.9
data_CsBi3Pt2
_chemical_formula_sum 'Cs2 Bi6 Pt4'
_symmetry_space_group_name_H-M 'P -3 m 1'
_symmetry_Int_Tables_number 164
_symmetry_space_group_name_Hall '-P 3 2"'
_cell_length_a 8.7933
_cell_length_b 8.7933
_cell_length_c 6.7986
_cell_angle_alpha 90.00
_cell_angle_beta 90.00
_cell_angle_gamma 120.00
loop_
_atom_site_label
_atom_site_fract_x
_atom_site_fract_y
_atom_site_fract_z
_atom_site_occupancy
Cs1 0.3333 0.6667 0.3569 1
Bi1 0.1671 0.3342 0.8364 1
Pt1 0.0000 0.0000 0.0000 1
Pt2 0.0000 0.5000 0.0000 1

# Tb6Zn5Ag GGA-PBE optimized geometry
# Size of the total moment, μB/cell: 0.00
# Energy of formation from the pure elements, kJ per mole of atoms: -32.1
# Raw total energy, eV/cell: -41.0
data_Tb6Zn5Ag
_chemical_formula_sum 'Tb6 Zn5 Ag1'
_symmetry_space_group_name_H-M 'P 1 2/m 1'
_symmetry_Int_Tables_number 10
_cell_length_a 5.071
_cell_length_b 7.218
_cell_length_c 8.018
_cell_angle_alpha 90.00
_cell_angle_beta 108.34
_cell_angle_gamma 90.00
loop_
_symmetry_equiv_pos_as_xyz
'x,y,z'
'-x,-y,-z'
'-x,y,-z'
'x,-y,z'
loop_
_atom_site_label
_atom_site_fract_x
_atom_site_fract_y
_atom_site_fract_z
_atom_site_occupancy
Tb1 0.000 0.244 0.000 1
Tb2 0.332 0.246 0.663 1
Zn1 0.167 0.000 0.334 1
Zn2 0.169 0.500 0.338 1
Zn3 0.500 0.000 0.000 1
Ag1 0.500 0.500 0.000 1

# SbTe3 GGA-PBE optimized geometry
# Size of the total moment, μB/cell: 0.00
# Energy relative to the lowest polymorph listed for this composition, kJ/mol of formula units: 3
# Raw formation energy, meV per atom: 16
# Raw total energy, eV/cell: -27.0
data_SbTe3
_chemical_formula_sum 'Sb2 Te6'
_symmetry_space_group_name_H-M 'C 1 2/m 1'
_symmetry_Int_Tables_number 12
_cell_length_a 7.905
_cell_length_b 4.430
_cell_length_c 7.864
_cell_angle_alpha 90.00
_cell_angle_beta 110.52
_cell_angle_gamma 90.00
loop_
_symmetry_equiv_pos_as_xyz
'x,y,z'
'-x,-y,-z'
'-x,y,-z'
'x,-y,z'
'x+1/2,y+1/2,z'
'-x+1/2,-y+1/2,-z'
'-x+1/2,y+1/2,-z'
'x+1/2,-y+1/2,z'
loop_
_atom_site_label
_atom_site_fract_x
_atom_site_fract_y
_atom_site_fract_z
_atom_site_occupancy
Sb1 0.000 0.000 0.000 1
Te1 0.000 0.500 0.500 1
Te2 0.246 0.000 0.761 1

# Cr2N GGA-PBE optimized geometry
# Size of the total moment, μB/cell: 0.01
# Raw formation energy, meV per atom: -406
# Raw total energy, eV/cell: -115.2
data_Cr2N
_chemical_formula_sum 'Cr8 N4'
_symmetry_space_group_name_H-M 'P b c n'
_symmetry_Int_Tables_number 60
_cell_length_a 4.428
_cell_length_b 5.528
_cell_length_c 4.735
_cell_angle_alpha 90.00
_cell_angle_beta 90.00
_cell_angle_gamma 90.00
loop_
_symmetry_equiv_pos_as_xyz
'x,y,z'
'-x,-y,-z'
'-x+1/2,-y+1/2,z+1/2'
'x+1/2,y+1/2,-z+1/2'
'x+1/2,-y+1/2,-z'
'-x+1/2,y+1/2,z'
'-x,y,-z+1/2'
'x,-y,z+1/2'
loop_
_atom_site_label
_atom_site_fract_x
_atom_site_fract_y
_atom_site_fract_z
_atom_site_occupancy
Cr1 0.245 0.125 0.085 1
N1 0.000 0.373 0.250 1

# SrSm3S4 GGA-PBE optimized geometry
# Size of the total moment, μB/cell: 0.00
# Raw formation energy, meV per atom: -2023
# Raw total energy, eV/cell: -97.1
data_SrSm3S4
_chemical_formula_sum 'Sr2 Sm6 S8'
_symmetry_space_group_name_H-M 'C m m m'
_symmetry_Int_Tables_number 65
_symmetry_space_group_name_Hall '-C 2 2'
_cell_length_a 8.177
_cell_length_b 11.485
_cell_length_c 4.040
_cell_angle_alpha 90.00
_cell_angle_beta 90.00
_cell_angle_gamma 90.00
loop_
_atom_site_label
_atom_site_fract_x
_atom_site_fract_y
_atom_site_fract_z
_atom_site_occupancy
Sr1 0.000 0.000 0.000 1
Sm1 0.000 0.500 0.000 1
Sm2 0.250 0.250 0.500 1
S1 0.000 0.253 0.000 1
S2 0.242 0.500 0.500 1

# LaYGa2 GGA-PBE optimized geometry
# Size of the total moment, μB/cell: 0.00
# Energy of formation from the pure elements, kJ per mole of atoms: -59.4
# Raw total energy, eV/cell: -39.8
data_LaYGa2
_chemical_formula_sum 'La2 Y2 Ga4'
_symmetry_space_group_name_H-M 'A m m 2'
_symmetry_Int_Tables_number 38
_cell_length_a 4.172
_cell_length_b 4.448
_cell_length_c 11.315
_cell_angle_alpha 90.00
_cell_angle_beta 90.00
_cell_angle_gamma 90.00
loop_
_symmetry_equiv_pos_as_xyz
'x,y,z'
'-x,-y,z'
'-x,y,z'
'x,-y,z'
'x,y+1/2,z+1/2'
'-x,-y+1/2,z+1/2'
'-x,y+1/2,z+1/2'
'x,-y+1/2,z+1/2'
loop_
_atom_site_label
_atom_site_fract_x
_atom_site_fract_y
_atom_site_fract_z
_atom_site_occupancy
La1 0.000 0.000 0.000 1
Y1 0.500 0.000 0.277 1
Ga1 0.000 0.000 0.719 1
Ga2 0.500 0.000 0.576 1

# GaBI2O GGA-PBE optimized geometry
# Size of the total moment, μB/cell: 0.00
# Energy relative to the lowest polymorph listed for this composition, kJ/mol of formula units: 234
# Raw formation energy, meV per atom: 464
# Raw total energy, eV/cell: -15.4
data_GaBI2O
_chemical_formula_sum 'Ga1 B1 I2 O1'
_symmetry_space_group_name_H-M 'P 4/m m m'
_symmetry_Int_Tables_number 123
_symmetry_space_group_name_Hall '-P 4 2'
_cell_length_a 5.746
_cell_length_b 5.746
_cell_length_c 3.631
_cell_angle_alpha 90.00
_cell_angle_beta 90.00
_cell_angle_gamma 90.00
loop_
_atom_site_label
_atom_site_fract_x
_atom_site_fract_y
_atom_site_fract_z
_atom_site_occupancy
Ga1 0.000 0.000 0.000 1
B1 0.500 0.500 0.500 1
I1 0.000 0.500 0.000 1
O1 0.000 0.000 0.500 1

# KNaLiPb2 GGA-PBE optimized geometry
# Size of the total moment, μB/cell: 0.00
# Energy of formation from the pure elements, kJ per mole of atoms: -5.7
# Raw total energy, eV/cell: -12.0
data_KNaLiPb2
_chemical_formula_sum 'K1 Na1 Li1 Pb2'
_symmetry_space_group_name_H-M 'P 4/m m m'
_symmetry_Int_Tables_number 123
_symmetry_space_group_name_Hall '-P 4 2'
_cell_length_a 5.316
_cell_length_b 5.316
_cell_length_c 5.594
_cell_angle_alpha 90.00
_cell_angle_beta 90.00
_cell_angle_gamma 90.00
loop_
_atom_site_label
_atom_site_fract_x
_atom_site_fract_y
_atom_site_fract_z
_atom_site_occupancy
K1 0.000 0.000 0.000 1
Na1 0.500 0.500 0.000 1
Li1 0.500 0.500 0.500 1
Pb1 0.000 0.500 0.500 1

# Al5Ag7 GGA-PBE optimized geometry
# Size of the total moment, μB/cell: 0.00
# Energy of formation from the pure elements, kJ per mole of atoms: -2.7
# Energy relative to the lowest polymorph listed for this composition, kJ/mol of formula units: 24
# Raw total energy, eV/cell: -78.0
data_Al5Ag7
_chemical_formula_sum 'Al10 Ag14'
_symmetry_space_group_name_H-M 'C 1 2/m 1'
_symmetry_Int_Tables_number 12
_cell_length_a 8.284
_cell_length_b 8.252
_cell_length_c 6.418
_cell_angle_alpha 90.00
_cell_angle_beta 111.10
_cell_angle_gamma 90.00
loop_
_symmetry_equiv_pos_as_xyz
'x,y,z'
'-x,-y,-z'
'-x,y,-z'
'x,-y,z'
'x+1/2,y+1/2,z'
'-x+1/2,-y+1/2,-z'
'-x+1/2,y+1/2,-z'
'x+1/2,-y+1/2,z'
loop_
_atom_site_label
_atom_site_fract_x
_atom_site_fract_y
_atom_site_fract_z
_atom_site_occupancy
Al1 0.000 0.000 0.000 1
Al2 0.178 0.000 0.659 1
Al3 0.250 0.250 0.000 1
Ag1 0.000 0.500 0.000 1
Ag2 0.075 0.240 0.326 1
Ag3 0.173 0.500 0.678 1

# PrNdTc GGA-PBE optimized geometry
# Size of the total moment, μB/cell: 0.00
# Energy of formation from the pure elements, kJ per mole of atoms: 8.5
# Energy relative to the lowest polymorph listed for this composition, kJ/mol of formula units: 0
# Raw total energy, eV/cell: -78.6
data_PrNdTc
_chemical_formula_sum 'Pr4 Nd4 Tc4'
_symmetry_space_group_name_H-M 'C m c m'
_symmetry_Int_Tables_number 63
_symmetry_space_group_name_Hall '-C 2c 2'
_cell_length_a 4.648
_cell_length_b 18.748
_cell_length_c 4.051
_cell_angle_alpha 90.00
_cell_angle_beta 90.00
_cell_angle_gamma 90.00
loop_
_atom_site_label
_atom_site_fract_x
_atom_site_fract_y
_atom_site_fract_z
_atom_site_occupancy
Pr1 0.000 0.196 0.250 1
Nd1 0.000 0.417 0.250 1
Tc1 0.000 0.034 0.250 1